# 1
Entry from the Alexandria database: a crystal of CeRhPb relaxed with PBEsol (meta-GGA SCAN).

Summary:
For the volume, the calculation gives 21.77 Å³ per atom. As for the total magnetization: 0.87 μB per cell. The density is 11.45 g/cm3. As for the uncorrected energy: -52.153 eV per atom. The crystal system is hexagonal. As for the energy of formation: -781 meV/atom.

Lattice parameters (Å, degrees): 7.5205 7.5205 4.0008 90.00 90.00 120.00
Space group P-62m (No. 189)
Unique sites:
Ce (0.0000, 0.4113, 0.0000)
Rh (0.0000, 0.0000, 0.0000)
Rh (0.3333, 0.6667, 0.5000)
Pb (0.0000, 0.7421, 0.5000)


# 2
Entry from the Alexandria database: a crystal of Ce2PbSe4 relaxed with PBEsol (meta-GGA SCAN).

Summary:
For the volume, the calculation gives 24.98 Å³ per atom. As for the total magnetization: 8.00 μB per cell. The density is 7.63 g/cm3. As for the uncorrected energy: -36.664 eV per atom. The crystal system is tetragonal.

Lattice parameters (Å, degrees): 8.875 8.875 8.881 90.00 90.00 90.00
Space group I-42d (No. 122)
Unique sites:
Ce (0.133, 0.750, 0.125)
Pb (0.000, 0.000, 0.500)
Se (0.077, 0.670, 0.444)


# 3
Entry from the Alexandria database: a crystal of Ce3Pd5 relaxed with PBEsol (meta-GGA SCAN).

Summary:
For the volume, the calculation gives 20.13 Å³ per atom. As for the total magnetization: 2.17 μB per cell. The density is 9.82 g/cm3. As for the uncorrected energy: -37.990 eV per atom. The crystal system is hexagonal. As for the energy of formation: -795 meV/atom.

Lattice parameters (Å, degrees): 7.0019 7.0019 3.7923 90.00 90.00 120.00
Space group P-62m (No. 189)
Unique sites:
Ce (0.0000, 0.3558, 0.0000)
Pd (0.0000, 0.7698, 0.5000)
Pd (0.3333, 0.6667, 0.5000)